The following is a GGA-PBE calculation of Co2PbW after structural relaxation, from Alexandria via LeMat-Bulk.

Cell: 3.1321 3.1303 6.4370 Å, 90.00 90.10 90.00°
Fractional positions:
Co 0.0013 0.0000 0.1947
Co 0.9987 0.0000 0.8053
Pb 0.5000 0.5000 0.5000
W 0.5000 0.5000 0.0000

Values from the calculation:
Calculated formation energy, meV/atom: 375
Fermi-level density of states, states/eV/cell: 2.13
Symmetry: No. 10
Magnetic moment, μB per cell: 0.0
Crystal system: monoclinic